1.
! YCu PBE optimized geometry; values from VASP
&SYSTEM
  ibrav = 0, nat = 2, ntyp = 2
/
ATOMIC_SPECIES
Cu 63.55 Cu.upf
Y 88.91 Y.upf
ATOMIC_POSITIONS angstrom
Cu 0.0000 0.0000 0.0000
Y -4.9333 -0.6565 -0.0266
CELL_PARAMETERS angstrom
-3.5520 1.5871 -1.1886
-3.0142 -2.4540 -1.2005
-3.3005 -0.4462 2.3359
! - formation enthalpy at 0 K (eV per atom) = -0.02
! - total magnetic moment (μB per formula unit) = 0.00
! - symmetry = R-3m (166)

2.
! BaLi4Au2 PBE optimized geometry; values from VASP
&SYSTEM
  ibrav = 0, nat = 14, ntyp = 3
/
ATOMIC_SPECIES
Ba 137.33 Ba.upf
Li 6.94 Li.upf
Au 196.97 Au.upf
ATOMIC_POSITIONS angstrom
Ba -0.5028 1.4662 1.6016
Li -2.9045 -0.3879 -0.5567
Li -8.0559 -0.6603 1.1773
Au -7.8037 -2.6801 3.1055
Li -3.0858 -2.1638 4.1139
Li -7.2316 -5.3686 2.6446
Au -6.6094 -0.9726 -1.1844
Li -1.5061 -2.1170 1.4652
Ba -5.0681 -2.8783 1.0440
Au -3.3381 -0.1440 2.1857
Au -3.5268 -4.7839 3.2724
Li -5.4834 0.8007 0.6474
Li -8.6301 -3.6396 0.6227
Li -5.6583 -3.6248 4.6438
CELL_PARAMETERS angstrom
-1.0056 2.9325 3.2032
-7.8231 0.5280 -2.9393
-2.3130 -6.2846 5.0273
! - formation enthalpy at 0 K (eV per atom) = -0.45
! - total magnetic moment (μB per formula unit) = 0.00
! - symmetry = P4_2/mnm (136)

3.
! La3CdO PBE optimized geometry; values from VASP
&SYSTEM
  ibrav = 0, nat = 10, ntyp = 3
/
ATOMIC_SPECIES
O 16.00 O.upf
La 138.91 La.upf
Cd 112.41 Cd.upf
ATOMIC_POSITIONS angstrom
O 0.5185 5.0222 6.6365
La 2.5824 1.2256 4.0179
La 2.0817 5.4032 4.3804
La 2.1749 -1.1882 6.6284
La -1.4974 4.8866 5.4442
O 1.0124 0.8403 6.2830
La -0.9977 0.7060 5.0814
La 1.6778 2.9937 6.9927
Cd 0.1133 3.1623 2.8889
Cd -0.3834 7.3460 3.2542
CELL_PARAMETERS angstrom
-2.7471 -0.7376 4.7341
4.1548 -2.1006 5.3072
-0.9966 8.3623 0.7260
! - total magnetic moment (μB per formula unit) = 0.00
! - energy relative to the elements, uncorrected (eV/atom) = -1.24
! - symmetry = P1 (1)